# 1
The following is a DFT calculation (meta-GGA SCAN) of a PBEsol-optimized structure of ZrTcO3.

extended XYZ file:
```
5
Lattice="-1.2111 3.2467 -2.1709 0.1966 -2.2193 -3.4288 -3.9007 -1.1199 0.5012" Properties=species:S:1:pos:R:3 pbc="T T T"
O 0.0983 -1.1097 -1.7144
O -1.9503 -0.5599 0.2506
O -0.6055 1.6234 -1.0855
Tc -2.4576 -0.0462 -2.5492
Zr 0.0000 0.0000 0.0000
```

## Properties
- Total magnetization: 5.0 μB per formula unit
- Electronic total energy: -18.78 eV per atom


# 2
The following is a DFT calculation (meta-GGA SCAN) of a PBEsol-optimized structure of TeO3.

extended XYZ file:
```
8
Lattice="-2.3288 -3.8081 2.6630 -0.9277 -4.5748 -2.2806 3.7150 -2.9140 2.3980" Properties=species:S:1:pos:R:3 pbc="T T T"
Te -2.1710 -5.5890 0.2545
Te -1.0855 -2.7939 0.1280
O 2.3850 -4.2840 1.1989
O 0.0960 -1.8127 1.3465
O -1.9265 -7.0128 1.5815
O 1.2777 -6.8329 1.6584
O -0.8192 -4.4640 1.1220
O 1.2902 -4.9095 3.7145
```

## Properties
- Total magnetization: 0.0 μB per formula unit
- Offset from the most stable computed form: 47.5 meV per atom
- Fermi-level density of states: 0.00 states/eV/cell
- Electronic total energy: -14.89 eV per atom